w.
Material: Ca3NiAu
Method: DFT, GGA-PBE
State: optimized geometry

For the total moment, the calculation gives 0.00 μB per formula unit.

The space group is C2/m (No. 12) and the conventional cell measures 15.8626, 4.0392 and 8.3645 Å, with angles of 90.00, 92.15 and 90.00 degrees. Symmetry generates all atoms from Ca at (0.0543, 0.0000, 0.1878), Ca at (0.1077, 0.5000, 0.5603), Ca at (0.2433, 0.0000, 0.8088), Ni at (0.2181, 0.0000, 0.4468) and Au at (0.0975, 0.5000, 0.9258).



x.
Material: Ca3NiAu
Method: DFT, GGA-PBE
State: optimized geometry

For the total moment, the calculation gives 0.00 μB per formula unit.

The space group is Pm-3m (No. 221) and the conventional cell measures 5.2699, 5.2699 and 5.2699 Å, with angles of 90.00, 90.00 and 90.00 degrees. Symmetry generates all atoms from Ca at (0.0000, 0.0000, 0.5000), Ni at (0.0000, 0.0000, 0.0000) and Au at (0.5000, 0.5000, 0.5000).



The energy of each structure relative to the most stable one, in meV per atom, is as follows: w 0; x 254.



w.
Material: Ca2Au2O
Method: DFT, GGA-PBE
State: optimized geometry

For the total moment, the calculation gives 0.00 μB per formula unit.

The space group is I4/mmm (No. 139) and the conventional cell measures 5.7585, 5.7585 and 7.1895 Å, with angles of 90.00, 90.00 and 90.00 degrees. Symmetry generates all atoms from Ca at (0.0000, 0.5000, 0.2500), Au at (0.0000, 0.0000, 0.1810) and O at (0.0000, 0.0000, 0.5000).



x.
Material: Ca2Au2O
Method: DFT, GGA-PBE
State: optimized geometry

For the total moment, the calculation gives 0.00 μB per formula unit.

The space group is P4/mbm (No. 127) and the conventional cell measures 7.6352, 7.6352 and 3.8783 Å, with angles of 90.00, 90.00 and 90.00 degrees. Symmetry generates all atoms from Ca at (0.1798, 0.3202, 0.0000), Au at (0.1260, 0.6260, 0.5000) and O at (0.0000, 0.0000, 0.5000).



The energy of each structure relative to the most stable one, in meV per atom, is as follows: w 105; x 0.



w.
Material: CaPAuO2
Method: DFT, GGA-PBE
State: optimized geometry

For the total moment, the calculation gives 0.00 μB per formula unit.

The space group is P4/mmm (No. 123) and the conventional cell measures 4.2406, 4.2406 and 4.7186 Å, with angles of 90.00, 90.00 and 90.00 degrees. Symmetry generates all atoms from Ca at (0.0000, 0.0000, 0.0000), P at (0.5000, 0.5000, 0.0000), Au at (0.5000, 0.5000, 0.5000) and O at (0.0000, 0.5000, 0.5000).



x.
Material: CaPAuO2
Method: DFT, GGA-PBE
State: optimized geometry

For the total moment, the calculation gives 2.97 μB per formula unit.

The space group is P4/mmm (No. 123) and the conventional cell measures 4.1096, 4.1096 and 6.6433 Å, with angles of 90.00, 90.00 and 90.00 degrees. Symmetry generates all atoms from Ca at (0.0000, 0.0000, 0.0000), P at (0.0000, 0.0000, 0.5000), Au at (0.5000, 0.5000, 0.5000) and O at (0.0000, 0.5000, 0.0000).



The energy of each structure relative to the most stable one, in meV per atom, is as follows: w 0; x 343.